1.
# LiErAg2F6 (PBE-GGA, relaxed)
data_LiErAg2F6
_chemical_formula_sum 'Li2 Er2 Ag4 F12'
_space_group_name_H-M_alt 'P 1 21/c 1'
_space_group_IT_number 14
_cell_length_a 5.7889
_cell_length_b 5.8598
_cell_length_c 10.0206
_cell_angle_alpha 90.00
_cell_angle_beta 124.49
_cell_angle_gamma 90.00
loop_
_space_group_symop_operation_xyz
'x,y,z'
'-x,-y,-z'
'-x,y+1/2,-z+1/2'
'x,-y+1/2,z+1/2'
loop_
_atom_site_label
_atom_site_type_symbol
_atom_site_fract_x
_atom_site_fract_y
_atom_site_fract_z
Li1 Li 0.0000 0.0000 0.0000
Er1 Er 0.5000 0.0000 0.5000
Ag1 Ag 0.2376 0.0416 0.7480
F1 F 0.1478 0.1982 0.4588
F2 F 0.2555 0.6918 0.4517
F3 F 0.3309 0.0327 0.2446
# **E_form (uncorrected)**: -26.0 eV per formula unit



2.
# SiMoAu2 (PBE-GGA, relaxed)
data_SiMoAu2
_chemical_formula_sum 'Si2 Mo2 Au4'
_space_group_name_H-M_alt 'I 4/m m m'
_space_group_IT_number 139
_space_group_name_Hall '-I 4 2'
_cell_length_a 3.8373
_cell_length_b 3.8373
_cell_length_c 8.9724
_cell_angle_alpha 90.00
_cell_angle_beta 90.00
_cell_angle_gamma 90.00
loop_
_atom_site_label
_atom_site_type_symbol
_atom_site_fract_x
_atom_site_fract_y
_atom_site_fract_z
Si1 Si 0.0000 0.0000 0.0000
Mo1 Mo 0.0000 0.0000 0.5000
Au1 Au 0.0000 0.5000 0.2500
# **E_form (uncorrected)**: 1.3 eV per formula unit



3.
# CdAg2PO4 (PBE-GGA, relaxed)
data_CdAg2PO4
_chemical_formula_sum 'Cd2 Ag4 P2 O8'
_space_group_name_H-M_alt 'I -4'
_space_group_IT_number 82
_cell_length_a 5.2598
_cell_length_b 5.2598
_cell_length_c 8.8655
_cell_angle_alpha 90.00
_cell_angle_beta 90.00
_cell_angle_gamma 90.00
loop_
_space_group_symop_operation_xyz
'x,y,z'
'y,-x,-z'
'-x,-y,z'
'-y,x,-z'
'x+1/2,y+1/2,z+1/2'
'y+1/2,-x+1/2,-z+1/2'
'-x+1/2,-y+1/2,z+1/2'
'-y+1/2,x+1/2,-z+1/2'
loop_
_atom_site_label
_atom_site_type_symbol
_atom_site_fract_x
_atom_site_fract_y
_atom_site_fract_z
Cd1 Cd 0.0000 0.0000 0.0000
Ag1 Ag 0.0000 0.0000 0.5000
Ag2 Ag 0.0000 0.5000 0.7500
P1 P 0.0000 0.5000 0.2500
O1 O 0.1586 0.3133 0.1492
# **E_form (uncorrected)**: -9.1 eV per formula unit



4.
# KSb2Os (PBE-GGA, relaxed)
data_KSb2Os
_chemical_formula_sum 'K2 Sb4 Os2'
_space_group_name_H-M_alt 'I -4 m 2'
_space_group_IT_number 119
_space_group_name_Hall 'I -4 -2'
_cell_length_a 4.3496
_cell_length_b 4.3496
_cell_length_c 9.7371
_cell_angle_alpha 90.00
_cell_angle_beta 90.00
_cell_angle_gamma 90.00
loop_
_atom_site_label
_atom_site_type_symbol
_atom_site_fract_x
_atom_site_fract_y
_atom_site_fract_z
K1 K 0.0000 0.0000 0.0000
Sb1 Sb 0.0000 0.0000 0.5000
Sb2 Sb 0.0000 0.5000 0.2500
Os1 Os 0.0000 0.5000 0.7500
# **E_form (uncorrected)**: 3.6 eV per formula unit



5.
# HoUOs (PBE-GGA, relaxed)
data_HoUOs
_chemical_formula_sum 'Ho2 U2 Os2'
_space_group_name_H-M_alt 'I 4 m m'
_space_group_IT_number 107
_space_group_name_Hall 'I 4 -2'
_cell_length_a 3.4986
_cell_length_b 3.4986
_cell_length_c 10.7313
_cell_angle_alpha 90.00
_cell_angle_beta 90.00
_cell_angle_gamma 90.00
loop_
_atom_site_label
_atom_site_type_symbol
_atom_site_fract_x
_atom_site_fract_y
_atom_site_fract_z
Ho1 Ho 0.0000 0.0000 0.0000
U1 U 0.0000 0.0000 0.7011
Os1 Os 0.0000 0.0000 0.3099
# **ΔH_f (0 K)**: -14 meV per atom



6.
# Hf2TlCd2 (PBE-GGA, relaxed)
data_Hf2TlCd2
_chemical_formula_sum 'Hf4 Tl2 Cd4'
_space_group_name_H-M_alt 'I 4/m m m'
_space_group_IT_number 139
_space_group_name_Hall '-I 4 2'
_cell_length_a 4.0256
_cell_length_b 4.0256
_cell_length_c 14.9613
_cell_angle_alpha 90.00
_cell_angle_beta 90.00
_cell_angle_gamma 90.00
loop_
_atom_site_label
_atom_site_type_symbol
_atom_site_fract_x
_atom_site_fract_y
_atom_site_fract_z
Hf1 Hf 0.0000 0.0000 0.0920
Tl1 Tl 0.0000 0.0000 0.5000
Cd1 Cd 0.0000 0.5000 0.2500
# **ΔH_f (0 K)**: 461 meV per atom



7.
# KSn8Au2 (PBE-GGA, relaxed)
data_KSn8Au2
_chemical_formula_sum 'K2 Sn16 Au4'
_space_group_name_H-M_alt 'C 1 2/m 1'
_space_group_IT_number 12
_cell_length_a 17.5448
_cell_length_b 8.7325
_cell_length_c 4.4963
_cell_angle_alpha 90.00
_cell_angle_beta 100.83
_cell_angle_gamma 90.00
loop_
_space_group_symop_operation_xyz
'x,y,z'
'-x,-y,-z'
'-x,y,-z'
'x,-y,z'
'x+1/2,y+1/2,z'
'-x+1/2,-y+1/2,-z'
'-x+1/2,y+1/2,-z'
'x+1/2,-y+1/2,z'
loop_
_atom_site_label
_atom_site_type_symbol
_atom_site_fract_x
_atom_site_fract_y
_atom_site_fract_z
K1 K 0.0000 0.0000 0.0000
Sn1 Sn 0.0526 0.5000 0.7847
Sn2 Sn 0.1729 0.2801 0.1863
Sn3 Sn 0.1797 0.0000 0.7023
Au1 Au 0.2081 0.5000 0.6949
# **ΔH_f (0 K)**: -52 meV per atom



8.
# La3YTi (PBE-GGA, relaxed)
data_La3YTi
_chemical_formula_sum 'La3 Y1 Ti1'
_space_group_name_H-M_alt 'P m -3 m'
_space_group_IT_number 221
_space_group_name_Hall '-P 4 2 3'
_cell_length_a 5.7647
_cell_length_b 5.7647
_cell_length_c 5.7647
_cell_angle_alpha 90.00
_cell_angle_beta 90.00
_cell_angle_gamma 90.00
loop_
_atom_site_label
_atom_site_type_symbol
_atom_site_fract_x
_atom_site_fract_y
_atom_site_fract_z
La1 La 0.0000 0.0000 0.5000
Y1 Y 0.0000 0.0000 0.0000
Ti1 Ti 0.5000 0.5000 0.5000
# **ΔH_f (0 K)**: 1133 meV per atom



9.
# NdEr3Ni (PBE-GGA, relaxed)
data_NdEr3Ni
_chemical_formula_sum 'Nd4 Er12 Ni4'
_space_group_name_H-M_alt 'P 1 21/c 1'
_space_group_IT_number 14
_cell_length_a 7.9580
_cell_length_b 7.2267
_cell_length_c 9.8762
_cell_angle_alpha 90.00
_cell_angle_beta 107.44
_cell_angle_gamma 90.00
loop_
_space_group_symop_operation_xyz
'x,y,z'
'-x,-y,-z'
'-x,y+1/2,-z+1/2'
'x,-y+1/2,z+1/2'
loop_
_atom_site_label
_atom_site_type_symbol
_atom_site_fract_x
_atom_site_fract_y
_atom_site_fract_z
Nd1 Nd 0.1804 0.0429 0.2576
Er1 Er 0.0719 0.7067 0.0295
Er2 Er 0.2871 0.5087 0.3827
Er3 Er 0.4195 0.1296 0.6097
Ni1 Ni 0.4363 0.7445 0.6030
# **ΔH_f (0 K)**: -116 meV per atom



10.
# NaPaRuO4 (PBE-GGA, relaxed)
data_NaPaRuO4
_chemical_formula_sum 'Na4 Pa4 Ru4 O16'
_space_group_name_H-M_alt 'I m m a'
_space_group_IT_number 74
_space_group_name_Hall '-I 2b 2'
_cell_length_a 6.8571
_cell_length_b 7.1788
_cell_length_c 7.7280
_cell_angle_alpha 90.00
_cell_angle_beta 90.00
_cell_angle_gamma 90.00
loop_
_atom_site_label
_atom_site_type_symbol
_atom_site_fract_x
_atom_site_fract_y
_atom_site_fract_z
Na1 Na 0.0000 0.2500 0.0928
Pa1 Pa 0.0000 0.0000 0.5000
Ru1 Ru 0.2500 0.2500 0.7500
O1 O 0.0000 0.0648 0.7766
O2 O 0.1942 0.2500 0.4768
# **E_form (uncorrected)**: -15.5 eV per formula unit



11.
# ZnCd2Ge (PBE-GGA, relaxed)
data_ZnCd2Ge
_chemical_formula_sum 'Zn4 Cd8 Ge4'
_space_group_name_H-M_alt 'F m -3 m'
_space_group_IT_number 225
_space_group_name_Hall '-F 4 2 3'
_cell_length_a 6.9038
_cell_length_b 6.9038
_cell_length_c 6.9038
_cell_angle_alpha 90.00
_cell_angle_beta 90.00
_cell_angle_gamma 90.00
loop_
_atom_site_label
_atom_site_type_symbol
_atom_site_fract_x
_atom_site_fract_y
_atom_site_fract_z
Zn1 Zn 0.0000 0.0000 0.0000
Cd1 Cd 0.2500 0.2500 0.2500
Ge1 Ge 0.0000 0.0000 0.5000
# **ΔH_f (0 K)**: 202 meV per atom



12.
# Ga6PdRu (PBE-GGA, relaxed)
data_Ga6PdRu
_chemical_formula_sum 'Ga12 Pd2 Ru2'
_space_group_name_H-M_alt 'C 1 2/m 1'
_space_group_IT_number 12
_cell_length_a 6.3821
_cell_length_b 9.5663
_cell_length_c 5.4371
_cell_angle_alpha 90.00
_cell_angle_beta 119.37
_cell_angle_gamma 90.00
loop_
_space_group_symop_operation_xyz
'x,y,z'
'-x,-y,-z'
'-x,y,-z'
'x,-y,z'
'x+1/2,y+1/2,z'
'-x+1/2,-y+1/2,-z'
'-x+1/2,y+1/2,-z'
'x+1/2,-y+1/2,z'
loop_
_atom_site_label
_atom_site_type_symbol
_atom_site_fract_x
_atom_site_fract_y
_atom_site_fract_z
Ga1 Ga 0.2320 0.2128 0.2566
Ga2 Ga 0.2360 0.0000 0.7386
Pd1 Pd 0.0000 0.5000 0.5000
Ru1 Ru 0.0000 0.0000 0.0000
# **ΔH_f (0 K)**: -103 meV per atom



13.
# CaHo2Mg6 (PBE-GGA, relaxed)
data_CaHo2Mg6
_chemical_formula_sum 'Ca1 Ho2 Mg6'
_space_group_name_H-M_alt 'P 6/m m m'
_space_group_IT_number 191
_space_group_name_Hall '-P 6 2'
_cell_length_a 9.0713
_cell_length_b 9.0713
_cell_length_c 3.3726
_cell_angle_alpha 90.00
_cell_angle_beta 90.00
_cell_angle_gamma 120.00
loop_
_atom_site_label
_atom_site_type_symbol
_atom_site_fract_x
_atom_site_fract_y
_atom_site_fract_z
Ca1 Ca 0.0000 0.0000 0.0000
Ho1 Ho 0.3333 0.6667 0.0000
Mg1 Mg 0.0000 0.3375 0.5000
# **ΔH_f (0 K)**: -47 meV per atom



14.
# Tl5Te3Se3 (PBE-GGA, relaxed)
data_Tl5Te3Se3
_chemical_formula_sum 'Tl5 Te3 Se3'
_space_group_name_H-M_alt 'P 1'
_space_group_IT_number 1
_cell_length_a 5.7268
_cell_length_b 9.1057
_cell_length_c 9.2962
_cell_angle_alpha 62.60
_cell_angle_beta 82.03
_cell_angle_gamma 82.86
loop_
_space_group_symop_operation_xyz
'x,y,z'
loop_
_atom_site_label
_atom_site_type_symbol
_atom_site_fract_x
_atom_site_fract_y
_atom_site_fract_z
Tl1 Tl 0.0000 0.0000 0.0000
Tl2 Tl 0.0052 0.7387 0.7214
Tl3 Tl 0.0397 0.2424 0.4855
Tl4 Tl 0.5053 0.3393 0.0492
Tl5 Tl 0.5275 0.6695 0.3876
Te1 Te 0.1386 0.5897 0.1541
Te2 Te 0.2696 0.3664 0.7268
Te3 Te 0.7601 0.0087 0.3565
Se1 Se 0.2192 0.0064 0.2864
Se2 Se 0.7072 0.6442 0.0671
Se3 Se 0.8174 0.4438 0.7039
# **E_form (uncorrected)**: -2.1 eV per formula unit



15.
# BaNiSN2 (PBE-GGA, relaxed)
data_BaNiSN2
_chemical_formula_sum 'Ba1 Ni1 S1 N2'
_space_group_name_H-M_alt 'P 4/m m m'
_space_group_IT_number 123
_space_group_name_Hall '-P 4 2'
_cell_length_a 4.5794
_cell_length_b 4.5794
_cell_length_c 6.1730
_cell_angle_alpha 90.00
_cell_angle_beta 90.00
_cell_angle_gamma 90.00
loop_
_atom_site_label
_atom_site_type_symbol
_atom_site_fract_x
_atom_site_fract_y
_atom_site_fract_z
Ba1 Ba 0.0000 0.0000 0.0000
Ni1 Ni 0.5000 0.5000 0.5000
S1 S 0.0000 0.0000 0.5000
N1 N 0.0000 0.5000 0.0000
# **E_form (uncorrected)**: 10.5 eV per formula unit



16.
# NaNiS (PBE-GGA, relaxed)
data_NaNiS
_chemical_formula_sum 'Na2 Ni2 S2'
_space_group_name_H-M_alt 'I 4 m m'
_space_group_IT_number 107
_space_group_name_Hall 'I 4 -2'
_cell_length_a 3.2413
_cell_length_b 3.2413
_cell_length_c 9.9993
_cell_angle_alpha 90.00
_cell_angle_beta 90.00
_cell_angle_gamma 90.00
loop_
_atom_site_label
_atom_site_type_symbol
_atom_site_fract_x
_atom_site_fract_y
_atom_site_fract_z
Na1 Na 0.0000 0.0000 0.0000
Ni1 Ni 0.0000 0.0000 0.2685
S1 S 0.0000 0.0000 0.7275
# **E_form (uncorrected)**: -1.0 eV per formula unit



17.
# Fe2B2Br (PBE-GGA, relaxed)
data_Fe2B2Br
_chemical_formula_sum 'Fe4 B4 Br2'
_space_group_name_H-M_alt 'P 4/m b m'
_space_group_IT_number 127
_space_group_name_Hall '-P 4 2ab'
_cell_length_a 6.1545
_cell_length_b 6.1545
_cell_length_c 2.9035
_cell_angle_alpha 90.00
_cell_angle_beta 90.00
_cell_angle_gamma 90.00
loop_
_atom_site_label
_atom_site_type_symbol
_atom_site_fract_x
_atom_site_fract_y
_atom_site_fract_z
Fe1 Fe 0.1494 0.3506 0.0000
B1 B 0.0986 0.5986 0.5000
Br1 Br 0.0000 0.0000 0.5000
# **E_form (uncorrected)**: 4.0 eV per formula unit



18.
# Li2LaSn3 (PBE-GGA, relaxed)
data_Li2LaSn3
_chemical_formula_sum 'Li8 La4 Sn12'
_space_group_name_H-M_alt 'C m c m'
_space_group_IT_number 63
_space_group_name_Hall '-C 2c 2'
_cell_length_a 10.8086
_cell_length_b 8.6207
_cell_length_c 6.2710
_cell_angle_alpha 90.00
_cell_angle_beta 90.00
_cell_angle_gamma 90.00
loop_
_atom_site_label
_atom_site_type_symbol
_atom_site_fract_x
_atom_site_fract_y
_atom_site_fract_z
Li1 Li 0.2134 0.0000 0.0000
La1 La 0.0000 0.3406 0.2500
Sn1 Sn 0.0000 0.0413 0.7500
Sn2 Sn 0.1792 0.2899 0.7500
# **ΔH_f (0 K)**: -420 meV per atom



19.
# La6NdTm3 (PBE-GGA, relaxed)
data_La6NdTm3
_chemical_formula_sum 'La18 Nd3 Tm9'
_space_group_name_H-M_alt 'R 3 2'
_space_group_IT_number 155
_space_group_name_Hall 'R 3 2"'
_cell_length_a 10.0227
_cell_length_b 10.0227
_cell_length_c 12.2967
_cell_angle_alpha 90.00
_cell_angle_beta 90.00
_cell_angle_gamma 120.00
loop_
_atom_site_label
_atom_site_type_symbol
_atom_site_fract_x
_atom_site_fract_y
_atom_site_fract_z
La1 La 0.0000 0.3276 0.0000
La2 La 0.0000 0.6731 0.5000
Nd1 Nd 0.0000 0.0000 0.0000
Tm1 Tm 0.0000 0.0000 0.2535
Tm2 Tm 0.0000 0.0000 0.5000
# **ΔH_f (0 K)**: 186 meV per atom



20.
# Ba2Mg6CdIn (PBE-GGA, relaxed)
data_Ba2Mg6CdIn
_chemical_formula_sum 'Ba4 Mg12 Cd2 In2'
_space_group_name_H-M_alt 'P m m n'
_space_group_IT_number 59
_cell_length_a 8.0809
_cell_length_b 10.3001
_cell_length_c 7.7632
_cell_angle_alpha 90.00
_cell_angle_beta 90.00
_cell_angle_gamma 90.00
loop_
_space_group_symop_operation_xyz
'x,y,z'
'-x,-y,-z'
'-x+1/2,-y+1/2,z'
'x+1/2,y+1/2,-z'
'x+1/2,-y,-z'
'-x+1/2,y,z'
'-x,y+1/2,-z'
'x,-y+1/2,z'
loop_
_atom_site_label
_atom_site_type_symbol
_atom_site_fract_x
_atom_site_fract_y
_atom_site_fract_z
Ba1 Ba 0.2500 0.0172 0.2241
Mg1 Mg 0.0573 0.2500 0.8820
Mg2 Mg 0.0733 0.7500 0.5478
Mg3 Mg 0.2500 0.5030 0.7193
Cd1 Cd 0.2500 0.2500 0.5624
In1 In 0.2500 0.7500 0.9126
# **ΔH_f (0 K)**: -47 meV per atom



Number 1: magnetization 0.010 μB/atom, E -4.945 eV per atom. Number 2: magnetization 0.005 μB/atom, E -5.388 eV per atom. Number 3: magnetization 0.000 μB/atom, E -5.123 eV per atom. Number 4: magnetization 0.002 μB/atom, E -4.236 eV per atom. Number 5: magnetization 0.274 μB/atom, E -9.046 eV per atom. Number 6: magnetization 0.259 μB/atom, E -4.360 eV per atom. Number 7: magnetization 0.000 μB/atom, E -3.659 eV per atom. Number 8: magnetization 0.070 μB/atom, E -4.695 eV per atom. Number 9: magnetization 0.000 μB/atom, E -4.964 eV per atom. Number 10: magnetization 0.000 μB/atom, E -7.923 eV per atom. Number 11: magnetization 0.000 μB/atom, E -1.728 eV per atom. Number 12: magnetization 0.000 μB/atom, E -4.182 eV per atom. Number 13: magnetization 0.000 μB/atom, E -2.350 eV per atom. Number 14: magnetization 0.000 μB/atom, E -3.077 eV per atom. Number 15: magnetization 0.802 μB/atom, E -3.606 eV per atom. Number 16: magnetization 0.063 μB/atom, E -4.061 eV per atom. Number 17: magnetization 0.594 μB/atom, E -5.589 eV per atom. Number 18: magnetization 0.000 μB/atom, E -3.880 eV per atom. Number 19: magnetization 0.000 μB/atom, E -4.589 eV per atom. Number 20: magnetization 0.000 μB/atom, E -1.753 eV per atom.